## MgO (GGA-PBE)

Data for crystalline MgO at its relaxed geometry.

Cell lengths 9.3183, 3.1323, 5.7727 Å; angles 90.00, 90.00, 90.00 degrees
Element x y z (fractional)
Mg1 0.0000 0.4983 0.5954
Mg2 0.2071 0.1298 0.3359
Mg3 0.7071 0.8702 0.8359
Mg4 0.5000 0.5017 0.0954
Mg5 0.7929 0.1298 0.3359
Mg6 0.2929 0.8702 0.8359
O1 0.0000 0.9944 0.3816
O2 0.2042 0.3698 0.6766
O3 0.5000 0.0056 0.8816
O4 0.7042 0.6302 0.1766
O5 0.2958 0.6302 0.1766
O6 0.7958 0.3698 0.6766

Summary:
Formation energy without anion corrections: -55.39 kcal/mol of atoms

## AlBrO3 (GGA-PBE)

Data for crystalline AlBrO3 at its relaxed geometry.

Cell lengths 3.7186, 3.7186, 3.7186 Å; angles 90.00, 90.00, 90.00 degrees
Element x y z (fractional)
O1 0.0000 0.5000 0.0000
O2 0.0000 0.0000 0.5000
O3 0.5000 0.0000 0.0000
Br1 0.5000 0.5000 0.5000
Al1 0.0000 0.0000 0.0000

Summary:
Formation energy without anion corrections: -17.56 kcal/mol of atoms

## LuVPd2 (GGA-PBE)

Data for crystalline LuVPd2 at its relaxed geometry.

Cell lengths 3.5311, 4.4747, 4.4747 Å; angles 90.00, 90.00, 90.00 degrees
Site moments in Bohr magnetons follow the coordinates.
Element x y z (fractional)
V1 0.5000 0.5000 0.5000  2.30
Pd1 0.0000 0.5000 0.0000  0.10
Pd2 0.0000 0.0000 0.5000  0.10
Lu1 0.5000 0.0000 0.0000  0.08

Summary:
ΔE_f: -0.46 eV per atom

| no. | total moment (μB per cell) |
| --- | --- |
| 1 | 0.00 |
| 2 | 0.00 |
| 3 | 3.00 |